1.
Computed, not measured: crystalline ZrSi3Bi at its relaxed geometry at the PBE level of DFT. Values from VASP.

The structure in Quantum ESPRESSO input format:
```
&SYSTEM
  ibrav = 0, nat = 5, ntyp = 3
/
ATOMIC_SPECIES
Zr 91.22 Zr.upf
Si 28.09 Si.upf
Bi 208.98 Bi.upf
CELL_PARAMETERS angstrom
-3.727 1.379 -3.334
-3.486 -2.610 2.818
-0.929 4.265 2.802
ATOMIC_POSITIONS crystal
Zr 0.500 0.500 0.500
Si 0.500 0.000 0.000
Si 0.000 0.000 0.500
Si 0.000 0.500 0.000
Bi 0.000 0.000 0.000
```

Total moment: 0.827 μB per cell
Energy relative to the lowest polymorph listed for this composition: 831.3 meV per atom
Theoretical density: 4.58 g/cm3
ΔE_f (raw): 1.6095 eV per atom
Density of states at the Fermi level: 7.62 states/eV/cell



2.
Computed, not measured: crystalline Ba2AlGe at its relaxed geometry at the PBE level of DFT. Values from VASP.

The structure in Quantum ESPRESSO input format:
```
&SYSTEM
  ibrav = 0, nat = 8, ntyp = 3
/
ATOMIC_SPECIES
Al 26.98 Al.upf
Ba 137.33 Ba.upf
Ge 72.64 Ge.upf
CELL_PARAMETERS angstrom
-4.266 0.597 -0.791
0.944 -1.956 -6.564
-2.216 -7.905 5.982
ATOMIC_POSITIONS crystal
Al 0.750 0.604 0.275
Al 0.250 0.396 0.725
Ba 0.250 0.786 0.072
Ba 0.250 0.780 0.570
Ba 0.750 0.214 0.928
Ba 0.750 0.220 0.430
Ge 0.750 0.625 0.782
Ge 0.250 0.375 0.218
```

Total moment: 0.005 μB per cell
Energy of formation from the pure elements: -37.90 kJ per mole of atoms
Theoretical density: 4.35 g/cm3
Density of states at the Fermi level: 7.22 states/eV/cell



3.
Computed, not measured: crystalline HfZr3Cu2 at its relaxed geometry at the PBE level of DFT. Values from VASP.

The structure in Quantum ESPRESSO input format:
```
&SYSTEM
  ibrav = 0, nat = 6, ntyp = 3
/
ATOMIC_SPECIES
Cu 63.55 Cu.upf
Zr 91.22 Zr.upf
Hf 178.49 Hf.upf
CELL_PARAMETERS angstrom
-0.209 -0.847 -3.058
0.688 -3.004 0.785
-11.156 -2.197 1.371
ATOMIC_POSITIONS crystal
Cu 0.500 0.500 0.152
Cu 0.500 0.500 0.848
Zr 0.000 0.000 0.692
Zr 0.000 0.000 0.000
Zr 0.000 0.000 0.308
Hf 0.500 0.500 0.500
```

Total moment: 0.000 μB per cell
Energy of formation from the pure elements: -8.73 kJ per mole of atoms
Theoretical density: 8.31 g/cm3
Density of states at the Fermi level: 5.51 states/eV/cell



4.
Computed, not measured: crystalline In2CuAu2 at its relaxed geometry at the PBE level of DFT. Values from VASP.

The structure in Quantum ESPRESSO input format:
```
&SYSTEM
  ibrav = 0, nat = 10, ntyp = 3
/
ATOMIC_SPECIES
In 114.82 In.upf
Au 196.97 Au.upf
Cu 63.55 Cu.upf
CELL_PARAMETERS angstrom
7.091 0.000 0.000
0.000 7.091 0.000
0.000 0.000 4.099
ATOMIC_POSITIONS crystal
In 0.837 0.337 0.500
In 0.663 0.837 0.500
In 0.163 0.663 0.500
In 0.337 0.163 0.500
Au 0.852 0.648 0.000
Au 0.148 0.352 0.000
Au 0.352 0.852 0.000
Au 0.648 0.148 0.000
Cu 0.500 0.500 0.000
Cu 0.000 0.000 0.000
```

Total moment: 0.000 μB per cell
Energy relative to the lowest polymorph listed for this composition: 62.5 meV per atom
Energy of formation from the pure elements: -1.73 kJ per mole of atoms
Theoretical density: 11.07 g/cm3
Density of states at the Fermi level: 3.41 states/eV/cell



5.
Computed, not measured: crystalline CdTc2Mo at its relaxed geometry at the PBE level of DFT. Values from VASP.

The structure in Quantum ESPRESSO input format:
```
&SYSTEM
  ibrav = 0, nat = 4, ntyp = 3
/
ATOMIC_SPECIES
Cd 112.41 Cd.upf
Tc 98.00 Tc.upf
Mo 95.94 Mo.upf
CELL_PARAMETERS angstrom
-5.142 -4.525 -6.559
-4.407 -6.760 -4.983
-6.670 -5.212 -4.276
ATOMIC_POSITIONS crystal
Cd 0.250 0.250 0.250
Tc 0.006 0.006 0.006
Tc 0.494 0.494 0.494
Mo 0.750 0.750 0.750
```

Total moment: 0.000 μB per cell
Energy of formation from the pure elements: 26.17 kJ per mole of atoms
Theoretical density: 10.35 g/cm3
Density of states at the Fermi level: 3.41 states/eV/cell



6.
Computed, not measured: crystalline BaNaIn2 at its relaxed geometry at the PBE level of DFT. Values from VASP.

The structure in Quantum ESPRESSO input format:
```
&SYSTEM
  ibrav = 0, nat = 8, ntyp = 3
/
ATOMIC_SPECIES
In 114.82 In.upf
Na 22.99 Na.upf
Ba 137.33 Ba.upf
CELL_PARAMETERS angstrom
4.961 0.000 0.000
0.000 5.854 -0.104
0.000 -1.559 10.245
ATOMIC_POSITIONS crystal
In 0.250 0.976 0.933
In 0.250 0.403 0.541
In 0.750 0.597 0.459
In 0.750 0.024 0.067
Na 0.750 0.074 0.375
Na 0.250 0.926 0.625
Ba 0.750 0.449 0.812
Ba 0.250 0.551 0.188
```

Total moment: 0.000 μB per cell
Energy relative to the lowest polymorph listed for this composition: 18.8 meV per atom
Energy of formation from the pure elements: -21.89 kJ per mole of atoms
Theoretical density: 4.36 g/cm3
Density of states at the Fermi level: 5.76 states/eV/cell



7.
Computed, not measured: crystalline Na2AcI4 at its relaxed geometry at the PBE level of DFT. Values from VASP.

The structure in Quantum ESPRESSO input format:
```
&SYSTEM
  ibrav = 0, nat = 14, ntyp = 3
/
ATOMIC_SPECIES
I 126.90 I.upf
Na 22.99 Na.upf
Ac 227.00 Ac.upf
CELL_PARAMETERS angstrom
-7.641 2.286 2.777
-4.661 -6.630 5.474
-0.714 1.507 9.637
ATOMIC_POSITIONS crystal
I 0.273 0.210 0.244
I 0.727 0.256 0.290
I 0.234 0.271 0.771
I 0.276 0.729 0.229
I 0.273 0.744 0.710
I 0.727 0.790 0.756
I 0.766 0.729 0.229
I 0.724 0.271 0.771
Na 0.871 0.879 0.379
Na 0.500 0.500 0.500
Na 0.129 0.121 0.621
Na 0.500 0.000 0.000
Ac 0.000 0.500 0.000
Ac 0.500 0.500 0.000
```

Total moment: 0.247 μB per cell
Theoretical density: 4.23 g/cm3
ΔE_f (raw): -1.2415 eV per atom
Density of states at the Fermi level: 2.67 states/eV/cell



8.
Computed, not measured: crystalline LiGdLuSn at its relaxed geometry at the PBE level of DFT. Values from VASP.

The structure in Quantum ESPRESSO input format:
```
&SYSTEM
  ibrav = 0, nat = 4, ntyp = 4
/
ATOMIC_SPECIES
Li 6.94 Li.upf
Gd 157.25 Gd.upf
Sn 118.71 Sn.upf
Lu 174.97 Lu.upf
CELL_PARAMETERS angstrom
5.200 0.000 0.000
2.600 4.503 0.000
2.600 1.501 4.246
ATOMIC_POSITIONS crystal
Li 0.750 0.750 0.750
Gd 0.000 0.000 0.000
Sn 0.250 0.250 0.250
Lu 0.500 0.500 0.500
```

Total moment: 7.752 μB per cell
Energy of formation from the pure elements: -36.86 kJ per mole of atoms
Theoretical density: 7.65 g/cm3
Density of states at the Fermi level: 4.90 states/eV/cell